Entry 1:
KTl2HgAu | GGA-PBE | optimized geometry

a b c (Å): 5.5811 5.5811 6.2567
angles (deg): 90.00 90.00 90.00
Last column: nearest neighbours and their distance in Å.
Atoms (fractional coordinates):
K 0.0000 0.0000 0.0000  2 Au 3.13
Tl 0.0000 0.5000 0.5000  2 Au 2.79
Tl 0.5000 0.0000 0.5000  2 Au 2.79
Hg 0.5000 0.5000 0.0000  4 K 3.95, 8 Tl 4.19
Au 0.0000 0.0000 0.5000  4 Tl 2.79

As for the mass density: 7.2 g/cm³. As for the excess energy over the best structure of this formula in the dataset: 0.0104 eV/atom. The formation energy is -10.3 meV/atom. For the energy, the calculation gives -1.892 eV per atom.

Entry 2:
TlGa2Pt | GGA-PBE | optimized geometry

a b c (Å): 9.0205 9.0205 9.0205
angles (deg): 22.08 22.08 22.08
Last column: nearest neighbours and their distance in Å.
Atoms (fractional coordinates):
Tl 0.0000 0.0000 0.0000  2 Ga 2.81
Ga 0.1064 0.1064 0.1064  3 Pt 2.55, 1 Tl 2.81
Ga 0.8936 0.8936 0.8936  3 Pt 2.55, 1 Tl 2.81
Pt 0.5000 0.5000 0.5000  6 Ga 2.55

As for the mass density: 9.8 g/cm³. As for the excess energy over the best structure of this formula in the dataset: 0.0000 eV/atom. The formation energy is -184.1 meV/atom. For the energy, the calculation gives -3.799 eV per atom.

Entry 3:
AcLa3SmTm | GGA-PBE | optimized geometry

a b c (Å): 8.2464 5.3057 10.6048
angles (deg): 90.00 108.83 90.00
Last column: nearest neighbours and their distance in Å.
Atoms (fractional coordinates):
Ac 0.1735 0.2500 0.2944  3 Tm 3.67-3.69, 1 Sm 3.70, 8 La 3.76-3.79
Ac 0.8265 0.7500 0.7056  3 Tm 3.67-3.69, 1 Sm 3.70, 8 La 3.76-3.79
La 0.1722 0.7500 0.0412  3 Sm 3.66-3.69, 1 Tm 3.70, 5 La 3.74-3.81, 3 Ac 3.77
La 0.1734 0.7500 0.5452  1 Sm 3.66, 3 Tm 3.67-3.71, 5 La 3.73-3.80, 3 Ac 3.76-3.77
La 0.1739 0.2500 0.7925  1 Tm 3.66, 3 Sm 3.67-3.68, 6 La 3.73-3.81, 2 Ac 3.79
La 0.8261 0.7500 0.2075  1 Tm 3.66, 3 Sm 3.67-3.68, 6 La 3.73-3.81, 2 Ac 3.79
La 0.8266 0.2500 0.4548  1 Sm 3.66, 3 Tm 3.67-3.71, 5 La 3.73-3.80, 3 Ac 3.76-3.77
La 0.8278 0.2500 0.9588  3 Sm 3.66-3.69, 1 Tm 3.70, 5 La 3.74-3.81, 3 Ac 3.77
Sm 0.4983 0.7500 0.8754  7 La 3.66-3.69, 1 Ac 3.70, 2 Sm 3.74, 2 Tm 3.75
Sm 0.5017 0.2500 0.1246  7 La 3.66-3.69, 1 Ac 3.70, 2 Sm 3.74, 2 Tm 3.75
Tm 0.4988 0.2500 0.6254  5 La 3.66-3.71, 3 Ac 3.67-3.69, 2 Sm 3.75, 2 Tm 3.76
Tm 0.5012 0.7500 0.3746  5 La 3.66-3.71, 3 Ac 3.67-3.69, 2 Sm 3.75, 2 Tm 3.76

As for the mass density: 7.3 g/cm³. The formation energy is 37.2 meV/atom. For the energy, the calculation gives -4.643 eV per atom.

Entry 4:
PuHg2Bi | GGA-PBE | optimized geometry

a b c (Å): 5.3777 5.3777 5.3777
angles (deg): 60.00 60.00 60.00
Last column: nearest neighbours and their distance in Å.
Atoms (fractional coordinates):
Pu 0.0000 0.0000 0.0000  4 Hg 3.29, 4 Bi 3.29
Hg 0.5000 0.5000 0.5000  4 Hg 3.29, 4 Bi 3.29
Hg 0.7500 0.7500 0.7500  4 Hg 3.29, 4 Pu 3.29
Bi 0.2500 0.2500 0.2500  4 Hg 3.29, 4 Pu 3.29

As for the mass density: 12.9 g/cm³. The formation energy is -111.0 meV/atom. For the energy, the calculation gives -4.815 eV per atom.